Here is an optimized crystal structure of NaRuRh2 from Alexandria via LeMat-Bulk. Energies are from PBE.

The space group is I-42d (No. 122) and the conventional cell measures 7.232, 7.232 and 5.399 Å, with angles of 90.00, 90.00 and 90.00 degrees. The distinct sites, in fractional coordinates, are Na at (0.000, 0.000, 0.000), Ru at (0.000, 0.000, 0.500) and Rh at (0.201, 0.250, 0.625).

Its total magnetization is 0.0 μB per formula unit. The value obtained for the final energy is -89.41 eV per cell. The mass density comes out at 7.76 g/cm3. For the density of states at the Fermi level, the calculation gives 20.16 states/eV/cell. The energy above the most stable polymorph in this dataset is 20.1 kJ/mol of atoms.

***

Here is an optimized crystal structure of Na2RuRh from Alexandria via LeMat-Bulk. Energies are from PBE.

The space group is I-42d (No. 122) and the conventional cell measures 7.979, 7.979 and 4.900 Å, with angles of 90.00, 90.00 and 90.00 degrees. The distinct sites, in fractional coordinates, are Na at (0.239, 0.250, 0.125), Ru at (0.000, 0.000, 0.500) and Rh at (0.000, 0.000, 0.000).

Its total magnetization is 1.3 μB per formula unit. The value obtained for the final energy is -60.67 eV per cell. The mass density comes out at 5.32 g/cm3. For the density of states at the Fermi level, the calculation gives 21.38 states/eV/cell. The energy above the most stable polymorph in this dataset is 0.0 kJ/mol of atoms.